Computed, not measured: a geometry-optimized V3Ga2N structure at the PBE level of DFT.

Results
- Density: 7.032 Mg/m³
- Raw formation energy: -3.57 eV/f.u.
- Offset from the most stable computed form: 0.00 eV per formula unit
- M_tot: 0.00 Bohr magnetons per cell
- D(E_F): 18.059 states/eV/cell

a b c (Å): 6.614 6.614 6.614
angles (deg): 90.00 90.00 90.00
Space group P4_132 (No. 213)
Asymmetric unit:
V: 0.042 0.125 0.792 (multiplicity 12)
Ga: 0.069 0.931 0.431 (multiplicity 8)
N: 0.125 0.375 0.625 (multiplicity 4)

---

Computed, not measured: a geometry-optimized V7Ga2N2 structure at the PBE level of DFT.

Results
- Density: 6.216 Mg/m³
- Raw formation energy: -1.43 eV/f.u.
- M_tot: 0.00 Bohr magnetons per cell
- D(E_F): 15.902 states/eV/cell

a b c (Å): 8.765 7.909 4.621
angles (deg): 90.00 119.07 90.00
Space group C2/m (No. 12)
Asymmetric unit:
V: 0.000 0.000 0.000 (multiplicity 2)
V: 0.157 0.500 0.687 (multiplicity 4)
V: 0.169 0.332 0.223 (multiplicity 8)
Ga: 0.000 0.208 0.500 (multiplicity 4)
N: 0.175 0.000 0.836 (multiplicity 4)

---

Computed, not measured: a geometry-optimized V8GaN2 structure at the PBE level of DFT.

Results
- Density: 6.317 Mg/m³
- Raw formation energy: -2.49 eV/f.u.
- M_tot: 0.00 Bohr magnetons per cell
- D(E_F): 21.095 states/eV/cell

a b c (Å): 4.230 4.995 12.570
angles (deg): 90.00 90.00 90.00
Space group Immm (No. 71)
Asymmetric unit:
V: 0.000 0.000 0.115 (multiplicity 4)
V: 0.000 0.242 0.402 (multiplicity 8)
V: 0.000 0.500 0.221 (multiplicity 4)
Ga: 0.000 0.500 0.000 (multiplicity 2)
N: 0.000 0.000 0.270 (multiplicity 4)

---

Computed, not measured: a geometry-optimized V10Ga6N structure at the PBE level of DFT.

Results
- Density: 6.829 Mg/m³
- Raw formation energy: -6.18 eV/f.u.
- M_tot: 0.00 Bohr magnetons per cell
- D(E_F): 14.539 states/eV/cell

a b c (Å): 7.3482 7.3482 4.8972
angles (deg): 90.00 90.00 120.00
Space group P-31m (No. 162)
Asymmetric unit:
V: 0.0000 0.2274 0.2439 (multiplicity 6)
V: 0.3333 0.6667 0.0000 (multiplicity 2)
V: 0.3333 0.6667 0.5000 (multiplicity 2)
Ga: 0.0000 0.4027 0.7444 (multiplicity 6)
N: 0.0000 0.0000 0.0000 (multiplicity 1)

---

Computed, not measured: a geometry-optimized V5GaN structure at the PBE level of DFT.

Results
- Density: 6.363 Mg/m³
- Raw formation energy: -2.96 eV/f.u.
- M_tot: 0.00 Bohr magnetons per cell
- D(E_F): 24.317 states/eV/cell

a b c (Å): 6.811 7.362 7.168
angles (deg): 90.00 100.63 90.00
Space group C2/c (No. 15)
Asymmetric unit:
V: 0.000 0.105 0.250 (multiplicity 4)
V: 0.125 0.235 0.628 (multiplicity 8)
V: 0.235 0.405 0.023 (multiplicity 8)
Ga: 0.000 0.445 0.250 (multiplicity 4)
N: 0.000 0.000 0.000 (multiplicity 4)

---

Computed, not measured: a geometry-optimized VGa2WN structure at the PBE level of DFT.

Results
- Density: 9.429 Mg/m³
- Raw formation energy: 1.54 eV/f.u.
- M_tot: 0.00 Bohr magnetons per cell
- D(E_F): 3.087 states/eV/cell

a b c (Å): 4.271 4.271 3.749
angles (deg): 90.00 90.00 90.00
Space group P4/mmm (No. 123)
Asymmetric unit:
V: 0.000 0.000 0.000 (multiplicity 1)
Ga: 0.000 0.500 0.500 (multiplicity 2)
W: 0.500 0.500 0.000 (multiplicity 1)
N: 0.000 0.000 0.500 (multiplicity 1)

---

Computed, not measured: a geometry-optimized Y2VGaN structure at the PBE level of DFT.

Results
- Density: 5.605 Mg/m³
- Raw formation energy: -4.14 eV/f.u.
- M_tot: 1.36 Bohr magnetons per cell
- D(E_F): 3.117 states/eV/cell

a b c (Å): 4.865 4.865 3.911
angles (deg): 90.00 90.00 90.00
Space group P4/mmm (No. 123)
Asymmetric unit:
Y: 0.000 0.500 0.000 (multiplicity 2)
V: 0.000 0.000 0.500 (multiplicity 1)
Ga: 0.500 0.500 0.500 (multiplicity 1)
N: 0.000 0.000 0.000 (multiplicity 1)

---

Computed, not measured: a geometry-optimized ZrV2GaN structure at the PBE level of DFT.

Results
- Density: 6.525 Mg/m³
- Raw formation energy: -3.40 eV/f.u.
- M_tot: 0.00 Bohr magnetons per cell
- D(E_F): 4.092 states/eV/cell

a b c (Å): 3.944 3.944 4.530
angles (deg): 90.00 90.00 90.00
Space group P4/mmm (No. 123)
Asymmetric unit:
Zr: 0.000 0.000 0.000 (multiplicity 1)
V: 0.000 0.500 0.500 (multiplicity 2)
Ga: 0.500 0.500 0.000 (multiplicity 1)
N: 0.000 0.000 0.500 (multiplicity 1)

---

Computed, not measured: a geometry-optimized Zr2VGaN structure at the PBE level of DFT.

Results
- Density: 6.624 Mg/m³
- Raw formation energy: -4.18 eV/f.u.
- M_tot: 0.00 Bohr magnetons per cell
- D(E_F): 4.143 states/eV/cell

a b c (Å): 4.559 4.559 3.824
angles (deg): 90.00 90.00 90.00
Space group P4/mmm (No. 123)
Asymmetric unit:
Zr: 0.000 0.500 0.000 (multiplicity 2)
V: 0.000 0.000 0.500 (multiplicity 1)
Ga: 0.500 0.500 0.500 (multiplicity 1)
N: 0.000 0.000 0.000 (multiplicity 1)

---

Computed, not measured: a geometry-optimized Ga3WN structure at the PBE level of DFT.

Results
- Density: 9.402 Mg/m³
- Raw formation energy: 4.05 eV/f.u.
- Offset from the most stable computed form: 0.00 eV per formula unit
- M_tot: 0.00 Bohr magnetons per cell
- D(E_F): 2.569 states/eV/cell

a b c (Å): 4.158 4.158 4.158
angles (deg): 90.00 90.00 90.00
Space group Pm-3m (No. 221)
Asymmetric unit:
Ga: 0.000 0.000 0.500 (multiplicity 3)
W: 0.500 0.500 0.500 (multiplicity 1)
N: 0.000 0.000 0.000 (multiplicity 1)

---

Computed, not measured: a geometry-optimized GaWN2 structure at the PBE level of DFT.

Results
- Density: 9.526 Mg/m³
- Raw formation energy: -0.48 eV/f.u.
- M_tot: 0.00 Bohr magnetons per cell
- D(E_F): 8.044 states/eV/cell

a b c (Å): 2.9510 2.9510 19.5243
angles (deg): 90.00 90.00 120.00
Space group R-3m (No. 166, hexagonal axes)
Asymmetric unit:
Ga: 0.0000 0.0000 0.0000 (multiplicity 3)
W: 0.0000 0.0000 0.5000 (multiplicity 3)
N: 0.0000 0.0000 0.1052 (multiplicity 6)

---

Computed, not measured: a geometry-optimized Ga3WN structure at the PBE level of DFT.

Results
- Density: 5.497 Mg/m³
- Raw formation energy: 7.60 eV/f.u.
- Offset from the most stable computed form: 3.55 eV per formula unit
- M_tot: 3.12 Bohr magnetons per cell
- D(E_F): 3.204 states/eV/cell

a b c (Å): 4.973 4.973 4.973
angles (deg): 90.00 90.00 90.00
Space group Pm-3m (No. 221)
Asymmetric unit:
Ga: 0.000 0.000 0.500 (multiplicity 3)
W: 0.000 0.000 0.000 (multiplicity 1)
N: 0.500 0.500 0.500 (multiplicity 1)

---

Computed, not measured: a geometry-optimized GaWN2 structure at the PBE level of DFT.

Results
- Density: 9.433 Mg/m³
- Raw formation energy: 0.60 eV/f.u.
- M_tot: 0.00 Bohr magnetons per cell
- D(E_F): 9.339 states/eV/cell

a b c (Å): 4.789 4.789 8.646
angles (deg): 90.00 90.00 90.00
Space group I-42d (No. 122)
Asymmetric unit:
Ga: 0.000 0.000 0.000 (multiplicity 4)
W: 0.000 0.000 0.500 (multiplicity 4)
N: 0.239 0.250 0.125 (multiplicity 8)

---

Computed, not measured: a geometry-optimized Y3Ga2N structure at the PBE level of DFT.

Results
- Density: 5.387 Mg/m³
- Raw formation energy: -4.44 eV/f.u.
- M_tot: 0.00 Bohr magnetons per cell
- D(E_F): 14.628 states/eV/cell

a b c (Å): 13.714 5.560 7.030
angles (deg): 90.00 104.84 90.00
Space group C2/c (No. 15)
Asymmetric unit:
Y: 0.000 0.000 0.250 (multiplicity 4)
Y: 0.122 0.500 0.061 (multiplicity 8)
Ga: 0.191 0.001 0.096 (multiplicity 8)
N: 0.000 0.500 0.250 (multiplicity 4)

---

Computed, not measured: a geometry-optimized Y12Ga3N5 structure at the PBE level of DFT.

Results
- Density: 4.916 Mg/m³
- Raw formation energy: -18.13 eV/f.u.
- M_tot: 0.00 Bohr magnetons per cell
- D(E_F): 106.786 states/eV/cell

a b c (Å): 15.380 15.380 15.380
angles (deg): 90.00 90.00 90.00
Space group Ia-3d (No. 230)
Asymmetric unit:
Y: 0.034 0.053 0.650 (multiplicity 96)
Ga: 0.000 0.250 0.125 (multiplicity 24)
N: 0.000 0.000 0.000 (multiplicity 16)
N: 0.000 0.250 0.375 (multiplicity 24)

---

Computed, not measured: a geometry-optimized Y2GaN structure at the PBE level of DFT.

Results
- Density: 5.554 Mg/m³
- Raw formation energy: 0.21 eV/f.u.
- M_tot: 0.00 Bohr magnetons per cell
- D(E_F): 19.234 states/eV/cell

a b c (Å): 6.788 6.788 6.788
angles (deg): 90.00 90.00 90.00
Space group Fm-3m (No. 225)
Asymmetric unit:
Y: 0.250 0.250 0.250 (multiplicity 8)
Ga: 0.000 0.000 0.000 (multiplicity 4)
N: 0.000 0.000 0.500 (multiplicity 4)

---

Computed, not measured: a geometry-optimized Y2GaN structure at the PBE level of DFT.

Results
- Density: 5.471 Mg/m³
- Raw formation energy: -4.23 eV/f.u.
- M_tot: 0.00 Bohr magnetons per cell
- D(E_F): 5.630 states/eV/cell

a b c (Å): 3.5347 3.5347 22.0092
angles (deg): 90.00 90.00 120.00
Space group R-3m (No. 166, hexagonal axes)
Asymmetric unit:
Y: 0.0000 0.0000 0.2287 (multiplicity 6)
Ga: 0.0000 0.0000 0.0000 (multiplicity 3)
N: 0.0000 0.0000 0.5000 (multiplicity 3)

---

Computed, not measured: a geometry-optimized YGa2N structure at the PBE level of DFT.

Results
- Density: 5.638 Mg/m³
- Raw formation energy: -0.65 eV/f.u.
- M_tot: 0.00 Bohr magnetons per cell
- D(E_F): 5.473 states/eV/cell

a b c (Å): 7.795 7.795 4.698
angles (deg): 90.00 90.00 90.00
Space group I-42d (No. 122)
Asymmetric unit:
Y: 0.000 0.000 0.000 (multiplicity 4)
Ga: 0.164 0.250 0.625 (multiplicity 8)
N: 0.000 0.000 0.500 (multiplicity 4)

---

Computed, not measured: a geometry-optimized YGaN2 structure at the PBE level of DFT.

Results
- Density: 5.166 Mg/m³
- Raw formation energy: 1.59 eV/f.u.
- M_tot: 0.00 Bohr magnetons per cell
- D(E_F): 11.817 states/eV/cell

a b c (Å): 3.3295 3.3295 18.7475
angles (deg): 90.00 90.00 120.00
Space group R-3m (No. 166, hexagonal axes)
Asymmetric unit:
Y: 0.0000 0.0000 0.0000 (multiplicity 3)
Ga: 0.0000 0.0000 0.5000 (multiplicity 3)
N: 0.0000 0.0000 0.1154 (multiplicity 6)

---

Computed, not measured: a geometry-optimized YGaN3 structure at the PBE level of DFT.

Results
- Density: 5.745 Mg/m³
- Raw formation energy: 1.39 eV/f.u.
- M_tot: 0.00 Bohr magnetons per cell
- D(E_F): 4.045 states/eV/cell

a b c (Å): 3.871 3.871 3.871
angles (deg): 90.00 90.00 90.00
Space group Pm-3m (No. 221)
Asymmetric unit:
Y: 0.000 0.000 0.000 (multiplicity 1)
Ga: 0.500 0.500 0.500 (multiplicity 1)
N: 0.000 0.500 0.500 (multiplicity 3)